DFT (GGA-PBE) results for a relaxed Mn2SiBr crystal.

a = 3.2708 Å, b = 3.2708 Å, c = 7.5263 Å
α = 90.00°, β = 90.00°, γ = 90.00°
Closest atoms and distances in Å follow each position.
Fractional coordinates of all 4 atoms:
Br 0.5000 0.5000 0.8444  4 Mn 2.71
Si 0.0000 0.0000 0.3558  5 Mn 2.40-2.45
Mn 0.5000 0.5000 0.2688  4 Si 2.40
Mn 0.0000 0.0000 0.0309  1 Si 2.45, 4 Br 2.71

SG	P4mm, No. 99
ρ	4.5	g cm⁻³
DFT total energy	-6.22	eV/atom



DFT (GGA-PBE) results for a relaxed Mn2SiBr crystal.

a = 3.0855 Å, b = 3.0855 Å, c = 6.6657 Å
α = 90.00°, β = 90.00°, γ = 90.08°
Closest atoms and distances in Å follow each position.
Fractional coordinates of all 4 atoms:
Mn 0.0000 0.0000 0.0580  4 Si 2.53, 1 Mn 2.56
Mn 0.0000 0.0000 0.4420  4 Si 2.53, 1 Mn 2.56
Br 0.5000 0.5000 0.7500  8 Mn 2.99-3.00, 4 Br 3.09, 2 Si 3.33
Si 0.5000 0.5000 0.2500  8 Mn 2.53

SG	P4/mmm, No. 123
ρ	5.7	g cm⁻³
DFT total energy	-6.15	eV/atom



DFT (GGA-PBE) results for a relaxed Mn2SiBr crystal.

a = 5.4186 Å, b = 5.4186 Å, c = 6.2915 Å
α = 64.49°, β = 64.49°, γ = 90.00°
Closest atoms and distances in Å follow each position.
Fractional coordinates of all 8 atoms:
Si 0.2500 0.7500 0.5000  4 Mn 2.26
Si 0.5000 0.5000 0.0000  4 Mn 2.26
Mn 0.3750 0.3838 0.7500  2 Si 2.26, 2 Br 2.31
Mn 0.8750 0.8662 0.7500  2 Si 2.26, 2 Br 2.31
Mn 0.1338 0.6250 0.2500  2 Si 2.26, 2 Br 2.31
Mn 0.6162 0.1250 0.2500  2 Si 2.26, 2 Br 2.31
Br 0.7500 0.2500 0.5000  4 Mn 2.31
Br 0.0000 0.0000 0.0000  4 Mn 2.31

SG	I-42d, No. 122
ρ	4.9	g cm⁻³
DFT total energy	-5.49	eV/atom



DFT (GGA-PBE) results for a relaxed MnSiBr2 crystal.

a = 3.8848 Å, b = 5.0820 Å, c = 5.0797 Å
α = 79.00°, β = 90.00°, γ = 90.00°
Closest atoms and distances in Å follow each position.
Fractional coordinates of all 4 atoms:
Br 0.0000 0.4867 0.4865  2 Mn 2.69, 2 Si 2.84
Br 0.0000 0.0133 0.0135  2 Mn 2.69, 2 Si 2.84
Si 0.5000 0.7500 0.7500  4 Br 2.84
Mn 0.5000 0.2500 0.2500  4 Br 2.69

SG	Cmmm, No. 65
ρ	4.1	g cm⁻³
DFT total energy	-4.20	eV/atom



DFT (GGA-PBE) results for a relaxed Mn2SiBr crystal.

a = 3.6549 Å, b = 6.5208 Å, c = 5.3314 Å
α = 35.13°, β = 90.00°, γ = 90.00°
Closest atoms and distances in Å follow each position.
Fractional coordinates of all 4 atoms:
Mn 0.5000 0.5000 0.0000  4 Br 2.62, 2 Si 2.67
Mn 0.0000 0.0000 0.0000  4 Si 2.62, 2 Br 2.67
Br 0.0000 0.0000 0.5000  6 Mn 2.62-2.67
Si 0.5000 0.5000 0.5000  6 Mn 2.62-2.67

SG	Pmmm, No. 47
ρ	4.9	g cm⁻³
DFT total energy	-6.06	eV/atom



DFT (GGA-PBE) results for a relaxed MnSiBr2 crystal.

a = 9.4562 Å, b = 9.4562 Å, c = 9.4562 Å
α = 19.55°, β = 19.55°, γ = 19.55°
Closest atoms and distances in Å follow each position.
Fractional coordinates of all 4 atoms:
Br 0.0814 0.0814 0.0814  1 Mn 2.26
Br 0.9186 0.9186 0.9186  1 Mn 2.26
Mn 0.0000 0.0000 0.0000  2 Br 2.26
Si 0.5000 0.5000 0.5000  6 Br 3.01, 6 Si 3.21

SG	R-3m, No. 166
ρ	4.9	g cm⁻³
DFT total energy	-3.63	eV/atom



DFT (GGA-PBE) results for a relaxed MnSiBr2 crystal.

a = 9.2335 Å, b = 9.2335 Å, c = 9.2335 Å
α = 22.31°, β = 22.31°, γ = 22.31°
Closest atoms and distances in Å follow each position.
Fractional coordinates of all 4 atoms:
Br 0.1043 0.1043 0.1043  3 Mn 2.66, 1 Si 2.82
Br 0.8957 0.8957 0.8957  3 Mn 2.66, 1 Si 2.82
Si 0.0000 0.0000 0.0000  2 Br 2.82
Mn 0.5000 0.5000 0.5000  6 Br 2.66

SG	R-3m, No. 166
ρ	4.1	g cm⁻³
DFT total energy	-4.38	eV/atom



DFT (GGA-PBE) results for a relaxed MnSiBr2 crystal.

a = 6.9312 Å, b = 6.9312 Å, c = 6.9312 Å
α = 147.29°, β = 147.29°, γ = 46.94°
Closest atoms and distances in Å follow each position.
Fractional coordinates of all 4 atoms:
Mn 0.5000 0.5000 0.0000  4 Br 2.76
Si 0.7500 0.2500 0.5000  4 Br 2.76
Br 0.0000 0.0000 0.0000  4 Mn 2.76
Br 0.2500 0.7500 0.5000  4 Si 2.76

SG	I-4m2, No. 119
ρ	4.2	g cm⁻³
DFT total energy	-4.04	eV/atom